[1]
Pm5NdSm: relaxed, PBE.

## Properties
- Energy relative to the elements: 974 meV/atom
- Uncorrected energy: -3.775 eV/atom
- Total magnetization: 0.21 μB per formula unit
- Energy relative to the lowest polymorph listed for this composition: 78.3 kJ per mole of atoms

abc: 5.8765 8.0087 8.0087
angles: 66.72 68.48 68.48
Element x y z (fractional)
1 Pm 0.7497 0.2503 0.2503
2 Pm 0.2503 0.7497 0.7497
3 Pm 0.5000 0.1787 0.8213
4 Pm 0.5000 0.8213 0.1787
5 Pm 0.0000 0.5000 0.5000
6 Sm 0.0000 0.0000 0.0000
7 Nd 0.5000 0.5000 0.5000

=====

[2]
Pm7NdSm2: relaxed, PBE.

## Properties
- Energy relative to the elements: 637 meV/atom
- Uncorrected energy: -4.109 eV/atom
- Total magnetization: 0.00 μB per formula unit
- Energy relative to the lowest polymorph listed for this composition: 24.8 kJ per mole of atoms

abc: 5.6494 9.3175 9.3175
angles: 123.14 90.00 90.00
Element x y z (fractional)
1 Pm 0.5000 0.7061 0.9350
2 Pm 0.5000 0.9351 0.7061
3 Pm 0.5000 0.0649 0.2939
4 Pm 0.0000 0.7752 0.2248
5 Pm 0.0000 0.2248 0.7752
6 Pm 0.5000 0.5000 0.5000
7 Pm 0.5000 0.2939 0.0650
8 Nd 0.0000 0.0000 0.0000
9 Sm 0.5000 0.7036 0.2964
10 Sm 0.5000 0.2964 0.7036

=====

[3]
PmNd5Sm2: relaxed, PBE.

## Properties
- Energy relative to the elements: 31 meV/atom
- Uncorrected energy: -4.722 eV/atom
- Total magnetization: 0.00 μB per formula unit
- Energy relative to the lowest polymorph listed for this composition: 1.7 kJ per mole of atoms

abc: 6.9983 14.0999 9.7552
angles: 72.79 113.45 140.54
Element x y z (fractional)
1 Nd 0.5404 0.7911 0.7077
2 Nd 0.4159 0.6662 0.0829
3 Nd 0.7085 0.4586 0.5416
4 Nd 0.3339 0.0831 0.6669
5 Nd 0.6661 0.9169 0.3331
6 Nd 0.2082 0.9581 0.0418
7 Nd 0.4596 0.2089 0.2923
8 Nd 0.2915 0.5414 0.4584
9 Nd 0.5841 0.3338 0.9171
10 Nd 0.7918 0.0419 0.9582
11 Sm 0.9166 0.1669 0.5833
12 Sm 0.0834 0.8331 0.4167
13 Sm 0.8323 0.5831 0.1667
14 Sm 0.1677 0.4169 0.8333
15 Pm 0.0423 0.2920 0.2086
16 Pm 0.9577 0.7080 0.7914

=====

[4]
Pm5Nd4Sm4: relaxed, PBE.

## Properties
- Energy relative to the elements: 12 meV/atom
- Uncorrected energy: -4.734 eV/atom
- Total magnetization: 0.00 μB per formula unit

abc: 5.1433 9.6876 9.6876
angles: 85.96 74.61 74.61
Element x y z (fractional)
1 Pm 0.6917 0.8473 0.7694
2 Pm 0.5390 0.7694 0.1527
3 Pm 0.3083 0.1527 0.2306
4 Pm 0.0000 0.0000 0.0000
5 Pm 0.4610 0.2306 0.8473
6 Sm 0.2307 0.6155 0.9231
7 Sm 0.7693 0.3845 0.0769
8 Sm 0.1538 0.0769 0.6155
9 Sm 0.8462 0.9231 0.3845
10 Nd 0.6162 0.3065 0.4611
11 Nd 0.0773 0.5389 0.3065
12 Nd 0.3838 0.6935 0.5389
13 Nd 0.9227 0.4611 0.6935

=====

[5]
PmNd12Sm5: relaxed, PBE.

## Properties
- Energy relative to the elements: 13 meV/atom
- Uncorrected energy: -4.740 eV/atom
- Total magnetization: 0.00 μB per formula unit

abc: 15.5536 10.9937 5.1842
angles: 90.00 90.01 44.98
Element x y z (fractional)
1 Nd 0.1661 0.0000 0.4999
2 Nd 0.6661 0.0000 0.0001
3 Nd 0.3329 0.6663 0.0000
4 Nd 0.5005 0.6669 0.4999
5 Nd 0.8339 0.0000 0.5001
6 Nd 0.6671 0.3337 0.0000
7 Nd 0.4995 0.3331 0.5001
8 Nd 0.1674 0.3331 0.4999
9 Nd 0.9992 0.3337 0.0000
10 Nd 0.3339 0.0000 0.9999
11 Nd 0.8326 0.6669 0.5001
12 Nd 0.0008 0.6663 0.0000
13 Sm 0.3335 0.3330 0.0000
14 Sm 0.6665 0.6670 0.0000
15 Sm 0.5000 0.0000 0.5000
16 Sm 0.8330 0.3340 0.5000
17 Sm 0.1670 0.6660 0.5000
18 Pm 0.0000 0.0000 0.0000

=====

[6]
Pm2Nd7Sm3: relaxed, PBE.

## Properties
- Energy relative to the elements: 69 meV/atom
- Uncorrected energy: -4.684 eV/atom
- Total magnetization: 0.00 μB per formula unit
- Energy relative to the lowest polymorph listed for this composition: 0.0 kJ per mole of atoms

abc: 3.6178 6.5522 17.7346
angles: 89.83 90.00 90.00
Element x y z (fractional)
1 Nd 0.5000 0.1762 0.8323
2 Nd 0.0000 0.3232 0.1657
3 Nd 0.5000 0.8238 0.1677
4 Nd 0.5000 0.2422 0.5028
5 Nd 0.0000 0.0000 0.0000
6 Nd 0.0000 0.6768 0.8343
7 Nd 0.5000 0.7578 0.4972
8 Sm 0.0000 0.9982 0.3393
9 Sm 0.0000 0.0018 0.6607
10 Sm 0.5000 0.5000 0.0000
11 Pm 0.5000 0.5110 0.6702
12 Pm 0.5000 0.4890 0.3298

=====

[7]
Pm5Nd3Sm4: relaxed, PBE.

## Properties
- Energy relative to the elements: 204 meV/atom
- Uncorrected energy: -4.540 eV/atom
- Total magnetization: 0.00 μB per formula unit
- Energy relative to the lowest polymorph listed for this composition: 18.5 kJ per mole of atoms

abc: 6.0606 8.7253 9.8745
angles: 106.13 72.13 69.68
Element x y z (fractional)
1 Sm 0.8347 0.9532 0.3773
2 Sm 0.8595 0.2229 0.0582
3 Sm 0.1405 0.7771 0.9418
4 Sm 0.1653 0.0468 0.6227
5 Pm 0.2163 0.4564 0.1110
6 Pm 0.6243 0.9500 0.8014
7 Pm 0.7837 0.5436 0.8890
8 Pm 0.5000 0.5000 0.5000
9 Pm 0.3757 0.0500 0.1986
10 Nd 0.0000 0.5000 0.5000
11 Nd 0.4814 0.3105 0.7266
12 Nd 0.5186 0.6895 0.2734

=====

[8]
Pm4Nd5Sm: relaxed, PBE.

## Properties
- Energy relative to the elements: 140 meV/atom
- Uncorrected energy: -4.616 eV/atom
- Total magnetization: 0.00 μB per formula unit
- Energy relative to the lowest polymorph listed for this composition: 0.0 kJ per mole of atoms

abc: 3.5207 6.9644 14.5434
angles: 97.15 96.95 90.00
Element x y z (fractional)
1 Nd 0.5000 0.5000 0.0000
2 Nd 0.7991 0.4006 0.5981
3 Nd 0.7942 0.8960 0.5883
4 Nd 0.2058 0.1040 0.4117
5 Nd 0.2009 0.5994 0.4019
6 Sm 0.5000 0.0000 0.0000
7 Pm 0.3927 0.1906 0.7853
8 Pm 0.0939 0.2974 0.1877
9 Pm 0.9061 0.7026 0.8123
10 Pm 0.6073 0.8094 0.2147

=====

[9]
Pm2Nd8Sm3: relaxed, PBE.

## Properties
- Energy relative to the elements: 207 meV/atom
- Uncorrected energy: -4.547 eV/atom
- Total magnetization: 0.00 μB per formula unit
- Energy relative to the lowest polymorph listed for this composition: 5.1 kJ per mole of atoms

abc: 5.7976 7.7426 11.0843
angles: 110.44 90.03 90.00
Element x y z (fractional)
1 Nd 0.9991 0.3281 0.6562
2 Nd 0.4999 0.6017 0.7892
3 Nd 0.5001 0.8125 0.2108
4 Nd 0.4999 0.1875 0.7892
5 Nd 0.0007 0.8669 0.7338
6 Nd 0.5001 0.3983 0.2108
7 Nd 0.0009 0.6719 0.3438
8 Nd 0.9993 0.1331 0.2662
9 Pm 0.4986 0.2413 0.4825
10 Pm 0.5014 0.7587 0.5175
11 Sm 0.0000 0.7137 0.0000
12 Sm 0.0000 0.2863 0.0000
13 Sm 0.5000 0.0000 0.0000

=====

[10]
Pm5NdSm5: relaxed, PBE.

## Properties
- Energy relative to the elements: 138 meV/atom
- Uncorrected energy: -4.600 eV/atom
- Total magnetization: 0.00 μB per formula unit
- Energy relative to the lowest polymorph listed for this composition: 0.0 kJ per mole of atoms

abc: 7.0382 8.5949 9.7109
angles: 44.71 88.62 103.58
Element x y z (fractional)
1 Sm 0.8534 0.4997 0.8566
2 Sm 0.5000 0.0000 0.0000
3 Sm 0.1466 0.5003 0.1434
4 Sm 0.2270 0.0666 0.6454
5 Sm 0.7730 0.9334 0.3546
6 Nd 0.0000 0.0000 0.0000
7 Pm 0.6437 0.4831 0.2353
8 Pm 0.0000 0.5000 0.5000
9 Pm 0.3060 0.0560 0.2979
10 Pm 0.3563 0.5169 0.7647
11 Pm 0.6940 0.9440 0.7021

=====

[11]
Pm2Nd3Sm5: relaxed, PBE.

## Properties
- Energy relative to the elements: 180 meV/atom
- Uncorrected energy: -4.560 eV/atom
- Total magnetization: 0.00 μB per formula unit
- Energy relative to the lowest polymorph listed for this composition: 0.0 kJ per mole of atoms

abc: 9.5295 9.5390 11.3155
angles: 124.53 124.51 69.82
Element x y z (fractional)
1 Sm 0.4712 0.7212 0.4424
2 Sm 0.2760 0.5260 0.0519
3 Sm 0.9778 0.2278 0.4557
4 Sm 0.5288 0.2788 0.5576
5 Sm 0.0222 0.7722 0.5443
6 Sm 0.3865 0.1370 0.7446
7 Sm 0.6135 0.8630 0.2554
8 Sm 0.8581 0.6076 0.7446
9 Sm 0.7240 0.4740 0.9481
10 Sm 0.1419 0.3924 0.2554
11 Pm 0.2238 0.9884 0.2569
12 Pm 0.5331 0.2685 0.2569
13 Pm 0.4669 0.7315 0.7431
14 Pm 0.7762 0.0116 0.7431
15 Nd 0.0152 0.7798 0.2475
16 Nd 0.7323 0.4677 0.2475
17 Nd 0.9848 0.2202 0.7525
18 Nd 0.2296 0.9796 0.9593
19 Nd 0.2677 0.5323 0.7525
20 Nd 0.7704 0.0204 0.0407

=====

[12]
PmNd2Sm5: relaxed, PBE.

## Properties
- Energy relative to the elements: 14 meV/atom
- Uncorrected energy: -4.721 eV/atom
- Total magnetization: 0.00 μB per formula unit
- Energy relative to the lowest polymorph listed for this composition: 0.0 kJ per mole of atoms

abc: 5.1461 7.2942 14.5861
angles: 90.00 90.00 90.00
Element x y z (fractional)
1 Pm 0.0000 0.0000 0.5000
2 Pm 0.0000 0.5000 0.0000
3 Nd 0.5000 0.2493 0.1251
4 Nd 0.5000 0.7493 0.3749
5 Nd 0.5000 0.2507 0.6251
6 Nd 0.5000 0.7507 0.8749
7 Sm 0.0000 0.5008 0.7498
8 Sm 0.5000 0.2494 0.3748
9 Sm 0.0000 0.0000 0.0000
10 Sm 0.5000 0.7494 0.1252
11 Sm 0.0000 0.5000 0.5000
12 Sm 0.0000 0.0008 0.7502
13 Sm 0.5000 0.7506 0.6252
14 Sm 0.5000 0.2506 0.8748
15 Sm 0.0000 0.4992 0.2502
16 Sm 0.0000 0.9992 0.2498

=====

- Among the records above, which one has the highest total magnetization?
  Pm5NdSm

=====

Please write out number 6 again, unchanged.
Pm2Nd7Sm3: relaxed, PBE.

## Properties
- Energy relative to the elements: 69 meV/atom
- Uncorrected energy: -4.684 eV/atom
- Total magnetization: 0.00 μB per formula unit
- Energy relative to the lowest polymorph listed for this composition: 0.0 kJ per mole of atoms

abc: 3.6178 6.5522 17.7346
angles: 89.83 90.00 90.00
Element x y z (fractional)
1 Nd 0.5000 0.1762 0.8323
2 Nd 0.0000 0.3232 0.1657
3 Nd 0.5000 0.8238 0.1677
4 Nd 0.5000 0.2422 0.5028
5 Nd 0.0000 0.0000 0.0000
6 Nd 0.0000 0.6768 0.8343
7 Nd 0.5000 0.7578 0.4972
8 Sm 0.0000 0.9982 0.3393
9 Sm 0.0000 0.0018 0.6607
10 Sm 0.5000 0.5000 0.0000
11 Pm 0.5000 0.5110 0.6702
12 Pm 0.5000 0.4890 0.3298

=====

- Which formula does entry 11 have?
  Pm2Nd3Sm5

=====

- Look up the total magnetization of the eleventh one.
  0.00 μB per formula unit